1.
Below is a relaxed structure of LiBiS2N, with properties calculated at the PBE level.

Properties
total magnetic moment = 2.0 μB per cell
formation energy (no corrections) = 3.2 eV/f.u.
E above lowest polymorph = 0 kJ/mol of formula units
E = -19.2 eV per cell
symmetry = P4/mmm (123)

Geometry as POSCAR:
```
LiBiS2N
1.0
5.287 0.000 0.000
0.000 5.287 0.000
0.000 0.000 4.550
S Li Bi N
2 1 1 1
direct
0.000 0.500 0.000 S
0.500 0.000 0.000 S
0.500 0.500 0.500 Li
0.000 0.000 0.000 Bi
0.000 0.000 0.500 N
```

=====

2.
Below is a relaxed structure of PmZn3I9, with properties calculated at the PBE level.

Properties
total magnetic moment = 0.0 μB per cell
formation energy (no corrections) = -10.2 eV/f.u.
E = -65.4 eV per cell
symmetry = Cc (9)

Geometry as POSCAR:
```
PmZn3I9
1.0
9.402 0.000 3.956
4.287 10.158 2.962
0.291 -0.209 12.457
Pm Zn I
2 6 18
direct
0.019 0.497 0.004 Pm
0.480 0.997 0.504 Pm
0.818 0.545 0.670 Zn
0.968 0.045 0.170 Zn
0.991 0.955 0.834 Zn
0.220 0.455 0.334 Zn
0.599 0.246 0.713 Zn
0.442 0.746 0.213 Zn
0.311 0.199 0.332 I
0.158 0.699 0.832 I
0.377 0.307 0.922 I
0.394 0.807 0.422 I
0.174 0.086 0.720 I
0.020 0.586 0.220 I
0.712 0.752 0.058 I
0.477 0.252 0.558 I
0.836 0.933 0.378 I
0.853 0.433 0.878 I
0.578 0.775 0.700 I
0.947 0.275 0.200 I
0.479 0.499 0.229 I
0.794 0.999 0.729 I
0.758 0.395 0.581 I
0.266 0.895 0.081 I
0.812 0.068 0.036 I
0.085 0.568 0.536 I
```

=====

3.
Below is a relaxed structure of TaP2Au, with properties calculated at the PBE level.

Properties
total magnetic moment = 0.0 μB per cell
E above lowest polymorph = 0 kJ/mol of formula units
E = -26.8 eV per cell
symmetry = Amm2 (38)
formation enthalpy at 0 K = -81 kJ/mol of formula units

Geometry as POSCAR:
```
TaP2Au
1.0
-2.041 -1.833 5.345
1.268 -2.499 5.314
0.672 3.278 1.384
Au P Ta
1 2 1
direct
0.243 0.243 0.125 Au
0.026 0.026 0.125 P
0.784 0.784 0.625 P
0.447 0.447 0.625 Ta
```

=====

4.
Below is a relaxed structure of KZnCd2, with properties calculated at the PBE level.

Properties
total magnetic moment = 0.0 μB per cell
E = -4.0 eV per cell
symmetry = Cm (8)
formation enthalpy at 0 K = 23 kJ/mol of formula units

Geometry as POSCAR:
```
KZnCd2
1.0
5.139 -0.016 0.019
3.954 3.283 0.019
1.107 0.398 6.819
Cd K Zn
2 1 1
direct
0.995 0.995 0.025 Cd
0.736 0.736 0.829 Cd
0.505 0.505 0.492 K
0.265 0.265 0.154 Zn
```

=====

5.
Below is a relaxed structure of NpUIr2, with properties calculated at the PBE level.

Properties
total magnetic moment = 6.0 μB per cell
E above lowest polymorph = 2 kJ/mol of formula units
E = -43.2 eV per cell
symmetry = Fm-3m (225)
formation enthalpy at 0 K = -119 kJ/mol of formula units

Geometry as POSCAR:
```
NpUIr2
1.0
-1.563 -3.305 3.169
-2.630 -3.763 -1.528
1.910 -4.445 -0.001
Np Ir U
1 2 1
direct
0.500 0.500 0.500 Np
0.250 0.250 0.250 Ir
0.750 0.750 0.750 Ir
0.000 0.000 0.000 U
```

=====

6.
Below is a relaxed structure of CeSiPt2, with properties calculated at the PBE level.

Properties
total magnetic moment = 2.0 μB per cell
formation energy (no corrections) = -4.2 eV/f.u.
E = -110.7 eV per cell
symmetry = Pnma (62)

Geometry as POSCAR:
```
CeSiPt2
1.0
5.647 0.000 0.000
0.000 6.882 0.000
0.000 0.000 7.623
Ce Si Pt
4 4 8
direct
0.357 0.250 0.034 Ce
0.857 0.750 0.466 Ce
0.643 0.750 0.966 Ce
0.143 0.250 0.534 Ce
0.650 0.250 0.380 Si
0.150 0.750 0.120 Si
0.350 0.750 0.620 Si
0.850 0.250 0.880 Si
0.909 0.048 0.178 Pt
0.409 0.952 0.322 Pt
0.091 0.548 0.822 Pt
0.591 0.452 0.678 Pt
0.091 0.952 0.822 Pt
0.591 0.048 0.678 Pt
0.909 0.452 0.178 Pt
0.409 0.548 0.322 Pt
```

=====

7.
Below is a relaxed structure of ZrAgP2, with properties calculated at the PBE level.

Properties
total magnetic moment = 0.0 μB per cell
E above lowest polymorph = 239 kJ/mol of formula units
E = -21.6 eV per cell
symmetry = P4mm (99)
formation enthalpy at 0 K = 60 kJ/mol of formula units

Geometry as POSCAR:
```
ZrAgP2
1.0
2.901 0.000 0.000
0.000 2.901 0.000
0.000 0.000 8.679
Ag P Zr
1 2 1
direct
0.500 0.500 0.757 Ag
0.000 0.000 0.976 P
0.500 0.500 0.277 P
0.000 0.000 0.490 Zr
```

=====

8.
Below is a relaxed structure of Na3LiTl3Cl8, with properties calculated at the PBE level.

Properties
total magnetic moment = 0.0 μB per cell
formation energy (no corrections) = -19.8 eV/f.u.
E = -47.6 eV per cell
symmetry = C2/m (12)

Geometry as POSCAR:
```
Na3LiTl3Cl8
1.0
8.296 0.000 0.000
-4.148 7.181 -0.020
0.000 -4.759 7.041
Na Li Tl Cl
3 1 3 8
direct
0.500 0.000 0.500 Na
0.500 0.500 0.500 Na
0.000 0.500 0.500 Na
0.000 0.000 0.500 Li
0.000 0.000 0.000 Tl
0.000 0.500 0.000 Tl
0.500 0.500 0.000 Tl
0.262 0.524 0.287 Cl
0.738 0.476 0.713 Cl
0.777 0.553 0.293 Cl
0.223 0.447 0.707 Cl
0.776 0.016 0.292 Cl
0.224 0.984 0.708 Cl
0.240 0.016 0.292 Cl
0.760 0.984 0.708 Cl
```

=====

9.
Below is a relaxed structure of BeSiW2, with properties calculated at the PBE level.

Properties
total magnetic moment = 0.0 μB per cell
formation energy (no corrections) = 1.2 eV/f.u.
E = -33.9 eV per cell
symmetry = R-3m (166)

Geometry as POSCAR:
```
BeSiW2
1.0
8.459 -0.001 -0.001
7.997 2.756 -0.001
7.997 1.339 2.409
Be Si W
1 1 2
direct
0.250 0.250 0.250 Be
0.750 0.750 0.750 Si
0.998 0.998 0.998 W
0.502 0.502 0.502 W
```

=====

10.
Below is a relaxed structure of Ca2NiW, with properties calculated at the PBE level.

Properties
total magnetic moment = 0.0 μB per cell
E above lowest polymorph = 0 kJ/mol of formula units
E = -21.2 eV per cell
symmetry = P4mm (99)
formation enthalpy at 0 K = 151 kJ/mol of formula units

Geometry as POSCAR:
```
Ca2NiW
1.0
-0.072 -0.386 -3.162
1.249 -2.913 0.327
-8.229 -3.460 0.609
Ni Ca W
1 2 1
direct
0.000 0.000 0.556 Ni
0.000 0.000 0.939 Ca
0.500 0.500 0.321 Ca
0.500 0.500 0.684 W
```

=====

11.
Below is a relaxed structure of U2Ga2Te7, with properties calculated at the PBE level.

Properties
total magnetic moment = 3.2 μB per cell
formation energy (no corrections) = -3.1 eV/f.u.
E = -53.8 eV per cell
symmetry = C2/m (12)

Geometry as POSCAR:
```
U2Ga2Te7
1.0
-4.305 -7.725 -1.270
1.170 -0.404 7.375
-5.165 4.760 -2.565
U Ga Te
2 2 7
direct
0.000 0.323 0.677 U
0.000 0.677 0.323 U
0.405 0.322 0.322 Ga
0.595 0.678 0.678 Ga
0.774 0.901 0.536 Te
0.226 0.464 0.099 Te
0.226 0.099 0.464 Te
0.774 0.536 0.901 Te
0.500 0.000 0.000 Te
0.169 0.739 0.739 Te
0.831 0.261 0.261 Te
```

=====

12.
Below is a relaxed structure of Tb5DyZn6, with properties calculated at the PBE level.

Properties
total magnetic moment = 0.0 μB per cell
E = -39.4 eV per cell
symmetry = Cmmm (65)
formation enthalpy at 0 K = -391 kJ/mol of formula units

Geometry as POSCAR:
```
Tb5DyZn6
1.0
4.793 -0.028 1.597
0.039 7.189 0.013
-0.001 -0.014 7.991
Zn Tb Dy
6 5 1
direct
0.834 0.751 0.333 Zn
0.834 0.249 0.333 Zn
0.500 0.249 0.000 Zn
0.500 0.751 0.000 Zn
0.166 0.751 0.667 Zn
0.166 0.249 0.667 Zn
0.667 0.500 0.666 Tb
0.333 0.000 0.333 Tb
0.000 0.500 0.000 Tb
0.667 0.000 0.667 Tb
0.333 0.500 0.334 Tb
0.000 0.000 0.000 Dy
```

=====

13.
Below is a relaxed structure of Ti3ZnTc, with properties calculated at the PBE level.

Properties
total magnetic moment = 0.0 μB per cell
E above lowest polymorph = 0 kJ/mol of formula units
E = -73.5 eV per cell
symmetry = Cmcm (63)
formation enthalpy at 0 K = -139 kJ/mol of formula units

Geometry as POSCAR:
```
Ti3ZnTc
1.0
4.135 0.000 -1.318
0.000 4.357 0.000
0.433 0.000 8.520
Ti Zn Tc
6 2 2
direct
0.568 0.344 0.418 Ti
0.762 0.345 0.807 Ti
0.067 0.844 0.417 Ti
0.958 0.344 0.198 Ti
0.457 0.844 0.197 Ti
0.263 0.845 0.808 Ti
0.360 0.344 0.002 Zn
0.666 0.845 0.613 Zn
0.858 0.844 0.998 Tc
0.168 0.344 0.617 Tc
```

=====

14.
Below is a relaxed structure of PmThC, with properties calculated at the PBE level.

Properties
total magnetic moment = 0.0 μB per cell
E above lowest polymorph = 137 kJ/mol of formula units
E = -20.5 eV per cell
symmetry = I4mm (107)
formation enthalpy at 0 K = 83 kJ/mol of formula units

Geometry as POSCAR:
```
PmThC
1.0
3.302 0.000 0.000
0.000 3.302 0.000
-1.651 -1.651 6.175
C Th Pm
1 1 1
direct
0.320 0.320 0.639 C
0.722 0.722 0.443 Th
0.959 0.959 0.917 Pm
```

=====

15.
Below is a relaxed structure of MoRh2Br, with properties calculated at the PBE level.

Properties
total magnetic moment = 0.0 μB per cell
formation energy (no corrections) = 2.5 eV/f.u.
E above lowest polymorph = 179 kJ/mol of formula units
E = -24.7 eV per cell
symmetry = Cmm2 (35)

Geometry as POSCAR:
```
MoRh2Br
1.0
2.865 -0.011 0.000
-1.391 2.505 0.000
0.000 0.000 9.193
Mo Rh Br
1 2 1
direct
0.500 0.500 0.760 Mo
0.000 0.000 0.994 Rh
0.500 0.500 0.244 Rh
0.000 0.000 0.501 Br
```

=====

16.
Below is a relaxed structure of Sm4PRhBr2, with properties calculated at the PBE level.

Properties
total magnetic moment = 0.0 μB per cell
formation energy (no corrections) = -9.7 eV/f.u.
E = -44.7 eV per cell
symmetry = P2/m (10)

Geometry as POSCAR:
```
Sm4PRhBr2
1.0
4.021 0.000 0.000
0.000 7.437 0.271
0.000 -2.474 7.266
Sm P Rh Br
4 1 1 2
direct
0.500 0.235 0.201 Sm
0.500 0.765 0.799 Sm
0.000 0.278 0.803 Sm
0.000 0.722 0.197 Sm
0.000 0.000 0.000 P
0.500 0.500 0.000 Rh
0.500 0.000 0.500 Br
0.000 0.500 0.500 Br
```

=====

17.
Below is a relaxed structure of YTa2Ir, with properties calculated at the PBE level.

Properties
total magnetic moment = 0.0 μB per cell
E above lowest polymorph = 76 kJ/mol of formula units
E = -39.0 eV per cell
symmetry = Cm (8)
formation enthalpy at 0 K = 5 kJ/mol of formula units

Geometry as POSCAR:
```
YTa2Ir
1.0
-4.499 -0.210 3.473
-2.388 -2.256 4.643
0.303 2.715 4.201
Ir Ta Y
1 2 1
direct
0.268 0.268 0.233 Ir
0.988 0.988 0.012 Ta
0.734 0.734 0.765 Ta
0.510 0.510 0.490 Y
```

=====

18.
Below is a relaxed structure of YSbSe2, with properties calculated at the PBE level.

Properties
total magnetic moment = 0.0 μB per cell
formation energy (no corrections) = -3.1 eV/f.u.
E = -20.7 eV per cell
symmetry = C2/m (12)

Geometry as POSCAR:
```
YSbSe2
1.0
-3.273 -3.899 1.599
4.439 -1.823 2.332
-0.498 0.339 4.275
Sb Se Y
1 2 1
direct
0.000 0.500 0.500 Sb
0.000 0.000 0.000 Se
0.500 0.500 0.000 Se
0.500 0.000 0.500 Y
```

=====

19.
Below is a relaxed structure of MgZrCr2, with properties calculated at the PBE level.

Properties
total magnetic moment = 0.0 μB per cell
E = -28.1 eV per cell
symmetry = Cmm2 (35)
formation enthalpy at 0 K = 124 kJ/mol of formula units

Geometry as POSCAR:
```
MgZrCr2
1.0
2.816 -0.008 0.000
-1.078 2.601 0.000
0.000 0.000 9.041
Cr Mg Zr
2 1 1
direct
0.000 0.000 0.036 Cr
0.500 0.500 0.213 Cr
0.000 0.000 0.470 Mg
0.500 0.500 0.781 Zr
```

=====

20.
Below is a relaxed structure of K5Ba, with properties calculated at the PBE level.

Properties
total magnetic moment = 0.0 μB per cell
E above lowest polymorph = 16 kJ/mol of formula units
E = -7.0 eV per cell
symmetry = Cmmm (65)
formation enthalpy at 0 K = 35 kJ/mol of formula units

Geometry as POSCAR:
```
K5Ba
1.0
-4.242 1.383 -1.853
0.924 -4.910 -5.781
-5.778 -5.704 8.970
K Ba
5 1
direct
0.000 0.657 0.315 K
0.000 0.343 0.685 K
0.500 0.500 0.000 K
0.500 0.172 0.343 K
0.500 0.828 0.657 K
0.000 0.000 0.000 Ba
```